Record 1
VASP calculation (GGA-PBE) on an optimized crystal structure of Al2PW.

Results
- E_form: 0.158 eV/atom
- Final energy: -0.232 Ha/atom
- Total magnetic moment: 0.00 μB/f.u.
- Volume: 59.64 Å³ per cell
- Space group: P4/mmm
- Mass density: 7.48 g/cm3

Cell and atoms, written as POSCAR:
```
Al2PW
1.0
-3.6028 -2.3549 0.4230
-0.0590 -0.6770 -4.2712
1.7632 -2.6271 0.3921
W Al P
1 2 1
Direct
0.0000 0.5000 0.5000
0.0000 0.0000 0.0000
0.5000 0.5000 0.0000
0.5000 0.0000 0.5000
```

---

Record 2
VASP calculation (GGA-PBE) on an optimized crystal structure of Tm8Hg4PSe3.

Results
- Final energy: -0.160 Ha/atom
- Total magnetic moment: 0.00 μB/f.u.
- Volume: 397.92 Å³ per cell
- Space group: C2/m
- Mass density: 10.11 g/cm3
- Uncorrected formation energy: -100.8 kJ/mol of atoms

Cell and atoms, written as POSCAR:
```
Tm8Hg4PSe3
1.0
-1.3367 3.7034 6.7089
-6.9824 -5.2097 1.4846
6.7718 -3.6162 -1.1643
Hg Tm Se P
4 8 3 1
Direct
0.0000 0.0000 0.0000
0.5000 0.0000 0.5000
0.0000 0.0000 0.5000
0.5000 0.0000 0.0000
0.7517 0.7225 0.9874
0.7643 0.2775 0.0126
0.7437 0.7303 0.4873
0.2357 0.7225 0.9874
0.2358 0.7225 0.4715
0.2483 0.2775 0.0126
0.2563 0.2697 0.5127
0.7642 0.2775 0.5285
0.5000 0.5000 0.5000
0.0000 0.5000 0.5000
0.5000 0.5000 0.0000
0.0000 0.5000 0.0000
```

---

Record 3
VASP calculation (GGA-PBE) on an optimized crystal structure of HoReSi2Tc.

Results
- Final energy: -0.301 Ha/atom
- Total magnetic moment: 0.00 μB/f.u.
- Volume: 85.76 Å³ per cell
- Space group: I-4m2
- Mass density: 9.78 g/cm3
- Uncorrected formation energy: -52.4 kJ/mol of atoms

Cell and atoms, written as POSCAR:
```
HoReSi2Tc
1.0
4.1134 0.0000 0.0000
0.0000 4.1134 0.0000
-2.0567 -2.0567 5.0683
Tc Ho Si Re
1 1 2 1
Direct
0.2500 0.7500 0.5000
0.0000 0.0000 0.0000
0.3790 0.3790 0.7581
0.6210 0.6210 0.2419
0.7500 0.2500 0.5000
```

---

Record 4
VASP calculation (GGA-PBE) on an optimized crystal structure of CaAl2Re.

Results
- E_form: 0.120 eV/atom
- Polymorph energy (0 for the lowest one): 217.3 meV per atom
- Final energy: -0.197 Ha/atom
- Total magnetic moment: 0.00 μB/f.u.
- Volume: 69.70 Å³ per cell
- Space group: Fm-3m
- Mass density: 6.68 g/cm3

Cell and atoms, written as POSCAR:
```
CaAl2Re
1.0
0.0000 3.2664 3.2664
3.2664 0.0000 3.2664
3.2664 3.2664 0.0000
Re Al Ca
1 2 1
Direct
0.5000 0.5000 0.5000
0.7500 0.7500 0.7500
0.2500 0.2500 0.2500
0.0000 0.0000 0.0000
```

---

Record 5
VASP calculation (GGA-PBE) on an optimized crystal structure of Pr3Sm3MgS8.

Results
- Final energy: -0.227 Ha/atom
- Total magnetic moment: 0.00 μB/f.u.
- Volume: 369.84 Å³ per cell
- Space group: R-3m
- Mass density: 5.18 g/cm3
- Uncorrected formation energy: -189.4 kJ/mol of atoms

Cell and atoms, written as POSCAR:
```
Pr3Sm3MgS8
1.0
8.0300 -0.0001 0.0000
-4.0150 6.9540 -0.0244
0.0000 -4.6130 6.6393
S Mg Sm Pr
8 1 3 3
Direct
0.7472 0.4944 0.7416
0.2412 0.0051 0.2691
0.7639 0.5279 0.2691
0.2361 0.4721 0.7309
0.7639 0.0051 0.2691
0.2528 0.5056 0.2584
0.2361 0.9949 0.7309
0.7588 0.9949 0.7309
0.0000 0.0000 0.5000
0.5000 0.0000 0.5000
0.5000 0.5000 0.5000
0.0000 0.5000 0.5000
0.0000 0.5000 0.0000
0.5000 0.5000 0.0000
0.0000 0.0000 0.0000
```

---

Record 6
VASP calculation (GGA-PBE) on an optimized crystal structure of MoSCl2.

Results
- Polymorph energy (0 for the lowest one): 0.0 meV per atom
- Final energy: -0.184 Ha/atom
- Total magnetic moment: 0.50 μB/f.u.
- Volume: 185.63 Å³ per cell
- Space group: I-42d
- Mass density: 3.56 g/cm3
- Uncorrected formation energy: -33.0 kJ/mol of atoms

Cell and atoms, written as POSCAR:
```
MoSCl2
1.0
9.0223 0.0000 0.0000
0.0000 9.0223 0.0000
4.5111 4.5111 2.2804
Mo Cl S
2 4 2
Direct
0.0000 0.0000 0.0000
0.7500 0.2500 0.5000
0.8750 0.0222 0.7500
0.9778 0.6250 0.2500
0.7722 0.1250 0.2500
0.3750 0.2278 0.7500
0.2500 0.7500 0.5000
0.5000 0.5000 0.0000
```

---

Record 7
VASP calculation (GGA-PBE) on an optimized crystal structure of ZrTc3Au.

Results
- E_form: 1.943 eV/atom
- Final energy: -0.244 Ha/atom
- Total magnetic moment: 2.59 μB/f.u.
- Volume: 107.02 Å³ per cell
- Space group: Pm-3m
- Mass density: 9.03 g/cm3

Cell and atoms, written as POSCAR:
```
ZrTc3Au
1.0
-2.8861 -1.8429 -3.2887
3.3419 0.6660 -3.3060
1.7446 -4.3245 0.8924
Tc Zr Au
3 1 1
Direct
0.0000 0.5000 0.0000
0.5000 0.0000 0.0000
0.0000 0.0000 0.5000
0.0000 0.0000 0.0000
0.5000 0.5000 0.5000
```

---

Record 8
VASP calculation (GGA-PBE) on an optimized crystal structure of LaIn3Pd2.

Results
- E_form: -0.450 eV/atom
- Final energy: -0.161 Ha/atom
- Total magnetic moment: 0.00 μB/f.u.
- Volume: 278.98 Å³ per cell
- Space group: R-3m
- Mass density: 8.29 g/cm3

Cell and atoms, written as POSCAR:
```
LaIn3Pd2
1.0
-2.7365 -2.1123 5.8384
3.9936 -2.2744 4.9916
0.8990 5.0272 6.1828
La Pd In
2 4 6
Direct
0.2251 0.2251 0.3246
0.7749 0.7749 0.6754
0.0000 0.5000 0.0000
0.5000 0.5000 0.0000
0.0000 0.0000 0.0000
0.5000 0.0000 0.0000
0.7337 0.2450 0.2876
0.2663 0.2663 0.7124
0.7337 0.7337 0.2876
0.2663 0.7550 0.7124
0.7550 0.2663 0.7124
0.2450 0.7337 0.2876
```

---

Record 9
VASP calculation (GGA-PBE) on an optimized crystal structure of V3P2H.

Results
- Final energy: -0.267 Ha/atom
- Total magnetic moment: 0.00 μB/f.u.
- Volume: 139.73 Å³ per cell
- Space group: C2/c
- Mass density: 5.13 g/cm3

Cell and atoms, written as POSCAR:
```
V3P2H
1.0
-1.7228 -2.5241 -3.4813
5.2745 -2.1938 -1.0196
-1.4420 -2.0778 5.3022
V P H
6 4 2
Direct
0.1157 0.0571 0.2322
0.8835 0.4429 0.7678
0.1165 0.5571 0.2322
0.8843 0.9429 0.7678
0.5067 0.7500 0.0000
0.4933 0.2500 0.0000
0.3183 0.9080 0.6348
0.6835 0.5920 0.3652
0.6817 0.0920 0.3652
0.3165 0.4080 0.6348
0.0835 0.2500 0.0000
0.9165 0.7500 0.0000
```

---

Record 10
VASP calculation (GGA-PBE) on an optimized crystal structure of CeUGa5Ir2.

Results
- E_form: -0.186 eV/atom
- Final energy: -0.211 Ha/atom
- Total magnetic moment: 4.24 μB/f.u.
- Volume: 178.21 Å³ per cell
- Space group: P4/mmm
- Mass density: 10.35 g/cm3

Cell and atoms, written as POSCAR:
```
CeUGa5Ir2
1.0
-0.6950 4.2643 -2.0197
-0.3444 -2.0819 -4.2771
-7.7301 -0.7841 1.0042
Ga Ir Ce U
5 2 1 1
Direct
0.5000 0.0000 0.7536
0.5000 0.0000 0.2464
0.0000 0.5000 0.7536
0.0000 0.5000 0.2464
0.5000 0.5000 0.5000
0.5000 0.5000 0.1737
0.5000 0.5000 0.8263
0.0000 0.0000 0.5000
0.0000 0.0000 0.0000
```

---

Record 11
VASP calculation (GGA-PBE) on an optimized crystal structure of BaBeZn2Cl.

Results
- Polymorph energy (0 for the lowest one): 377.2 meV per atom
- Final energy: -0.043 Ha/atom
- Total magnetic moment: 0.00 μB/f.u.
- Volume: 281.12 Å³ per cell
- Space group: P4/mmm
- Mass density: 1.85 g/cm3
- Uncorrected formation energy: 81.2 kJ/mol of atoms

Cell and atoms, written as POSCAR:
```
BaBeZn2Cl
1.0
6.6680 0.0000 0.0000
0.0000 6.3227 0.0000
0.0000 0.0000 6.6680
Cl Ba Zn Be
1 1 2 1
Direct
0.5000 0.5000 0.5000
0.0000 0.0000 0.0000
0.0000 0.0000 0.5000
0.5000 0.0000 0.0000
0.0000 0.5000 0.0000
```

---

Record 12
VASP calculation (GGA-PBE) on an optimized crystal structure of TlV2Pb.

Results
- E_form: 0.941 eV/atom
- Polymorph energy (0 for the lowest one): 305.5 meV per atom
- Final energy: -0.189 Ha/atom
- Total magnetic moment: 1.46 μB/f.u.
- Volume: 168.07 Å³ per cell
- Space group: I-42d
- Mass density: 10.15 g/cm3

Cell and atoms, written as POSCAR:
```
TlV2Pb
1.0
7.5139 0.0000 0.0000
0.0000 7.5139 0.0000
3.7570 3.7570 2.9769
V Pb Tl
4 2 2
Direct
0.3750 0.3747 0.7500
0.8750 0.8753 0.7500
0.6253 0.1250 0.2500
0.1247 0.6250 0.2500
0.0000 0.0000 0.0000
0.7500 0.2500 0.5000
0.5000 0.5000 0.0000
0.2500 0.7500 0.5000
```

---

Record 13
VASP calculation (GGA-PBE) on an optimized crystal structure of TlNiAu2.

Results
- E_form: 0.166 eV/atom
- Polymorph energy (0 for the lowest one): 43.7 meV per atom
- Final energy: -0.129 Ha/atom
- Total magnetic moment: 0.00 μB/f.u.
- Volume: 73.90 Å³ per cell
- Space group: Pm
- Mass density: 14.76 g/cm3

Cell and atoms, written as POSCAR:
```
TlNiAu2
1.0
-1.8312 -1.9679 -1.5877
2.5116 -1.5673 -0.9541
0.7484 -5.2601 5.6568
Au Ni Tl
2 1 1
Direct
0.0000 0.7964 0.0321
0.5000 0.1728 0.2800
0.0000 0.5724 0.4804
0.5000 0.9585 0.7075
```

---

Record 14
VASP calculation (GGA-PBE) on an optimized crystal structure of Na4TlCd5.

Results
- E_form: -0.077 eV/atom
- Final energy: -0.048 Ha/atom
- Total magnetic moment: 0.00 μB/f.u.
- Volume: 255.85 Å³ per cell
- Space group: P-1
- Mass density: 5.57 g/cm3

Cell and atoms, written as POSCAR:
```
Na4TlCd5
1.0
-1.3397 2.5975 -4.9259
-5.8632 -2.7684 -2.3640
-2.1846 4.5432 5.0592
Cd Na Tl
5 4 1
Direct
0.5000 0.5000 0.0000
0.7045 0.7912 0.4056
0.9109 0.5886 0.8049
0.0891 0.4114 0.1951
0.2955 0.2088 0.5944
0.8899 0.1060 0.7991
0.3030 0.6970 0.6094
0.1101 0.8940 0.2009
0.6970 0.3030 0.3906
0.5000 0.0000 0.0000
```

---

Record 15
VASP calculation (GGA-PBE) on an optimized crystal structure of KRbCd2Au2.

Results
- E_form: -0.236 eV/atom
- Final energy: -0.073 Ha/atom
- Total magnetic moment: 0.00 μB/f.u.
- Volume: 195.55 Å³ per cell
- Space group: P-3m1
- Mass density: 6.31 g/cm3

Cell and atoms, written as POSCAR:
```
KRbCd2Au2
1.0
4.9091 0.0000 0.0000
-2.4546 4.2514 0.0000
0.0000 0.0000 9.3698
Cd Au Rb K
2 2 1 1
Direct
0.3333 0.6667 0.7310
0.6667 0.3333 0.2690
0.3333 0.6667 0.2670
0.6667 0.3333 0.7330
0.0000 0.0000 0.0000
0.0000 0.0000 0.5000
```

---

Record 16
VASP calculation (GGA-PBE) on an optimized crystal structure of PrSm2PuN4.

Results
- Final energy: -0.334 Ha/atom
- Total magnetic moment: 4.68 μB/f.u.
- Volume: 129.78 Å³ per cell
- Space group: P2/m
- Mass density: 9.49 g/cm3
- Uncorrected formation energy: -131.3 kJ/mol of atoms

Cell and atoms, written as POSCAR:
```
PrSm2PuN4
1.0
3.5873 0.0000 0.0000
0.0000 6.1971 0.1178
0.0000 -2.1571 5.7969
N Pr Sm Pu
4 1 2 1
Direct
0.5000 0.2340 0.2392
0.5000 0.7660 0.7608
0.0000 0.7635 0.2463
0.0000 0.2365 0.7537
0.5000 0.5000 0.0000
0.5000 0.0000 0.5000
0.0000 0.5000 0.5000
0.0000 0.0000 0.0000
```

---

Record 17
VASP calculation (GGA-PBE) on an optimized crystal structure of OsPdIO2.

Results
- Polymorph energy (0 for the lowest one): 1350.8 meV per atom
- Final energy: -0.167 Ha/atom
- Total magnetic moment: 1.93 μB/f.u.
- Volume: 106.53 Å³ per cell
- Space group: P4/mmm
- Mass density: 7.10 g/cm3
- Uncorrected formation energy: 98.9 kJ/mol of atoms

Cell and atoms, written as POSCAR:
```
OsPdIO2
1.0
3.8180 0.0000 0.0000
0.0000 3.8180 0.0000
0.0000 0.0000 7.3083
I O Pd Os
1 2 1 1
Direct
0.0000 0.0000 0.5000
0.0000 0.5000 0.0000
0.5000 0.0000 0.0000
0.0000 0.0000 0.0000
0.5000 0.5000 0.5000
```

---

Record 18
VASP calculation (GGA-PBE) on an optimized crystal structure of LiYP2.

Results
- E_form: -0.677 eV/atom
- Polymorph energy (0 for the lowest one): 194.5 meV per atom
- Final energy: -0.201 Ha/atom
- Total magnetic moment: 0.00 μB/f.u.
- Volume: 75.37 Å³ per cell
- Space group: R-3m
- Mass density: 3.48 g/cm3

Cell and atoms, written as POSCAR:
```
LiYP2
1.0
5.3591 0.0005 0.0003
3.6516 3.9225 0.0003
3.6516 1.5898 3.5859
Li P Y
1 2 1
Direct
0.7500 0.7500 0.7500
0.0113 0.0113 0.0113
0.4887 0.4887 0.4887
0.2500 0.2500 0.2500
```

---

Record 19
VASP calculation (GGA-PBE) on an optimized crystal structure of Ba3Sn2Bi5.

Results
- E_form: -0.407 eV/atom
- Final energy: -0.137 Ha/atom
- Total magnetic moment: 0.00 μB/f.u.
- Volume: 841.71 Å³ per cell
- Space group: Ibam
- Mass density: 6.69 g/cm3

Cell and atoms, written as POSCAR:
```
Ba3Sn2Bi5
1.0
-7.3922 -7.9829 1.5559
2.8531 -3.9213 -6.5641
8.3902 1.3399 7.9197
Ba Bi Sn
6 10 4
Direct
0.3348 0.4308 0.6695
0.7500 0.0000 0.0000
0.8348 0.2387 0.6695
0.6652 0.5692 0.3305
0.1652 0.7613 0.3305
0.2500 0.0000 0.0000
0.5219 0.7324 0.0438
0.4781 0.2676 0.9562
0.5484 0.7984 0.5969
0.4516 0.2016 0.4031
0.9516 0.2016 0.4031
0.0484 0.7984 0.5969
0.9781 0.6886 0.9562
0.7500 0.5000 0.0000
0.2500 0.5000 0.0000
0.0219 0.3114 0.0438
0.1368 0.1701 0.2737
0.8632 0.8299 0.7263
0.6368 0.1036 0.2737
0.3632 0.8964 0.7263
```

---

Record 20
VASP calculation (GGA-PBE) on an optimized crystal structure of RbFe3Bi.

Results
- E_form: 2.309 eV/atom
- Polymorph energy (0 for the lowest one): 982.4 meV per atom
- Final energy: -0.137 Ha/atom
- Total magnetic moment: 8.28 μB/f.u.
- Volume: 112.89 Å³ per cell
- Space group: Pm-3m
- Mass density: 6.80 g/cm3

Cell and atoms, written as POSCAR:
```
RbFe3Bi
1.0
-3.7238 0.2525 3.0706
-1.0094 -4.6509 -0.8417
2.9109 -1.2899 3.6362
Fe Rb Bi
3 1 1
Direct
0.0000 0.5000 0.0000
0.5000 0.0000 0.0000
0.0000 0.0000 0.5000
0.0000 0.0000 0.0000
0.5000 0.5000 0.5000
```